Entry 1:
Compound: Sr2InCu
Source: Alexandria
Functional: PBE
Structure: optimized geometry

Results
* electronic total energy: -10.4 eV/cell
* energy of formation: -0.0620 eV per atom

abc: 3.8003 3.8003 8.9288
angles: 90.00 90.00 90.19
Closest atoms and distances in Å follow each position.
Element x y z (fractional)
Sr1 0.0000 0.0000 0.0000  1 Cu 3.36, 4 In 3.47-3.48
Sr2 0.5000 0.5000 0.3898  1 In 3.25, 4 Cu 3.40-3.41
In1 0.5000 0.5000 0.7535  4 Cu 2.92-2.93, 1 Sr 3.25
Cu1 0.0000 0.0000 0.6235  4 In 2.92-2.93


Entry 2:
Compound: CaPa2PdO8
Source: Alexandria
Functional: PBE
Structure: optimized geometry

Results
* electronic total energy: -97.6 eV/cell
* E_form (uncorrected): -2.65 eV per atom

abc: 4.9221 4.9221 7.0928
angles: 90.00 90.00 90.66
Closest atoms and distances in Å follow each position.
Element x y z (fractional)
Ca1 0.0000 0.0000 0.0000  6 O 2.25-2.41
Pa1 0.5000 0.5000 0.2533  6 O 2.12-2.26
Pa2 0.5000 0.5000 0.7467  6 O 2.12-2.26
Pd1 0.0000 0.0000 0.5000  6 O 2.06-2.07
O1 0.1952 0.1952 0.2817  1 Pd 2.06, 1 Pa 2.12
O2 0.1952 0.1952 0.7183  1 Pd 2.06, 1 Pa 2.12
O3 0.2952 0.7048 0.5000  1 Pd 2.07, 2 Pa 2.26
O4 0.3210 0.6790 0.0000  2 Pa 2.19, 1 Ca 2.25
O5 0.6790 0.3210 0.0000  2 Pa 2.19, 1 Ca 2.25
O6 0.7048 0.2952 0.5000  1 Pd 2.07, 2 Pa 2.26
O7 0.8048 0.8048 0.2817  1 Pd 2.06, 1 Pa 2.12
O8 0.8048 0.8048 0.7183  1 Pd 2.06, 1 Pa 2.12


Entry 3:
Compound: SrTaBr2
Source: Alexandria
Functional: PBE
Structure: optimized geometry

Results
* electronic total energy: -16.8 eV/cell
* E_form (uncorrected): 0.01 eV per atom

abc: 3.6746 3.6746 9.7371
angles: 90.00 90.00 125.96
Closest atoms and distances in Å follow each position.
Element x y z (fractional)
Sr1 0.0000 0.0000 0.0000  4 Br 3.22, 2 Sr 3.34
Ta1 0.0000 0.0000 0.5000  4 Br 2.70
Br1 0.5000 0.5000 0.2824  2 Ta 2.70
Br2 0.5000 0.5000 0.7176  2 Ta 2.70


Entry 4:
Compound: KTiNb2
Source: Alexandria
Functional: PBE
Structure: optimized geometry

Results
* electronic total energy: -45.2 eV/cell
* energy of formation: 1.6377 eV per atom

abc: 10.3670 10.3670 10.3670
angles: 152.23 152.23 39.67
Closest atoms and distances in Å follow each position.
Element x y z (fractional)
K1 0.3750 0.6250 0.7500  4 Ti 3.52, 8 Nb 3.70
K2 0.6250 0.3750 0.2500  4 Ti 3.52, 8 Nb 3.70
Ti1 0.1250 0.8750 0.2500  4 Nb 2.74
Ti2 0.8750 0.1250 0.7500  4 Nb 2.74
Nb1 0.0000 0.0000 0.0000  2 Nb 2.49, 2 Ti 2.74
Nb2 0.0000 0.0000 0.5000  2 Nb 2.49, 2 Ti 2.74
Nb3 0.0000 0.5000 0.0000  2 Nb 2.49, 2 Ti 2.74
Nb4 0.5000 0.0000 0.5000  2 Nb 2.49, 2 Ti 2.74


Entry 5:
Compound: Sn5SbTe4
Source: Alexandria
Functional: PBE
Structure: optimized geometry

Results
* electronic total energy: -38.8 eV/cell
* E_form (uncorrected): -0.21 eV per atom

abc: 7.7838 7.7838 7.7838
angles: 99.43 99.43 132.25
Closest atoms and distances in Å follow each position.
Element x y z (fractional)
Sn1 0.0000 0.0000 0.0000  2 Sb 3.15, 4 Te 3.18
Sn2 0.2083 0.5990 0.8089  1 Sb 3.10, 5 Te 3.15-3.28
Sn3 0.3994 0.2083 0.6093  1 Sb 3.10, 5 Te 3.15-3.28
Sn4 0.5990 0.7901 0.3907  1 Sb 3.10, 5 Te 3.15-3.28
Sn5 0.7901 0.3994 0.1911  1 Sb 3.10, 5 Te 3.15-3.28
Sb1 0.5001 0.5001 0.0000  6 Sn 3.10-3.15
Te1 0.0995 0.2989 0.4004  6 Sn 3.15-3.28
Te2 0.2989 0.8985 0.1994  6 Sn 3.15-3.28
Te3 0.6991 0.0995 0.8006  6 Sn 3.15-3.28
Te4 0.8985 0.6991 0.5996  6 Sn 3.15-3.28


Entry 6:
Compound: RbNa2CdS
Source: Alexandria
Functional: PBE
Structure: optimized geometry

Results
* electronic total energy: -11.0 eV/cell
* E_form (uncorrected): -0.47 eV per atom

abc: 5.4115 5.4115 6.5074
angles: 90.00 90.00 90.00
Closest atoms and distances in Å follow each position.
Element x y z (fractional)
Rb1 0.0000 0.0000 0.0000  2 S 3.25
Na1 0.0000 0.5000 0.5000  2 S 2.71
Na2 0.5000 0.0000 0.5000  2 S 2.71
Cd1 0.5000 0.5000 0.0000  4 Rb 3.83, 8 Na 4.23
S1 0.0000 0.0000 0.5000  4 Na 2.71


Entry 7:
Compound: AlZnNiBi2
Source: Alexandria
Functional: PBE
Structure: optimized geometry

Results
* electronic total energy: -17.0 eV/cell
* energy of formation: 0.3155 eV per atom

abc: 5.1914 5.1914 4.5732
angles: 90.00 90.00 90.00
Closest atoms and distances in Å follow each position.
Element x y z (fractional)
Al1 0.0000 0.0000 0.0000  8 Bi 3.46, 4 Zn 3.67
Zn1 0.5000 0.5000 0.0000  2 Ni 2.29
Ni1 0.5000 0.5000 0.5000  2 Zn 2.29
Bi1 0.0000 0.5000 0.5000  2 Ni 2.60
Bi2 0.5000 0.0000 0.5000  2 Ni 2.60


Entry 8:
Compound: Sc3TcO
Source: Alexandria
Functional: PBE
Structure: optimized geometry

Results
* electronic total energy: -76.3 eV/cell
* E_form (uncorrected): -0.76 eV per atom

abc: 6.0515 6.0515 6.3934
angles: 90.00 90.00 121.87
Closest atoms and distances in Å follow each position.
Element x y z (fractional)
Sc1 0.0000 0.0000 0.0000  2 O 1.99
Sc2 0.0000 0.0000 0.5000  2 O 1.99
Sc3 0.0090 0.4901 0.2500  1 O 2.00
Sc4 0.4901 0.0090 0.7500  1 O 2.00
Sc5 0.5099 0.9910 0.2500  1 O 2.00
Sc6 0.9910 0.5099 0.7500  1 O 2.00
Tc1 0.4356 0.5644 0.7500  2 Sc 2.53
Tc2 0.5644 0.4356 0.2500  2 Sc 2.53
O1 0.1127 0.8873 0.7500  4 Sc 1.99-2.00
O2 0.8873 0.1127 0.2500  4 Sc 1.99-2.00


Entry 9:
Compound: Li2GeSbH
Source: Alexandria
Functional: PBE
Structure: optimized geometry

Results
* electronic total energy: -16.6 eV/cell

abc: 4.2837 4.2837 4.3987
angles: 90.00 90.00 90.00
Closest atoms and distances in Å follow each position.
Element x y z (fractional)
Li1 0.0000 0.5000 0.0000  2 H 2.14
Li2 0.5000 0.0000 0.0000  2 H 2.14
Ge1 0.0000 0.0000 0.5000  4 Sb 3.03, 8 Li 3.07
Sb1 0.5000 0.5000 0.5000  2 H 2.20
H1 0.5000 0.5000 0.0000  4 Li 2.14, 2 Sb 2.20


Entry 10:
Compound: Tb5Pm5Hg2
Source: Alexandria
Functional: PBE
Structure: optimized geometry

Results
* electronic total energy: -48.9 eV/cell
* energy of formation: -0.1192 eV per atom

abc: 6.7450 6.7450 11.0807
angles: 90.24 90.24 47.95
Closest atoms and distances in Å follow each position.
Element x y z (fractional)
Tb1 0.0000 0.0000 0.0000  2 Hg 3.28, 4 Pm 3.56, 2 Tb 3.60
Tb2 0.1831 0.1831 0.7484  2 Hg 3.46, 7 Pm 3.55-3.73, 4 Tb 3.59-3.60
Tb3 0.3175 0.3175 0.4617  1 Hg 3.16, 2 Tb 3.32, 1 Pm 3.44
Tb4 0.6825 0.6825 0.5383  1 Hg 3.16, 2 Tb 3.32, 1 Pm 3.44
Tb5 0.8169 0.8169 0.2516  2 Hg 3.46, 7 Pm 3.55-3.73, 4 Tb 3.59-3.60
Pm1 0.0000 0.0000 0.5000  2 Hg 3.31, 6 Tb 3.55-3.57
Pm2 0.3188 0.3188 0.0365  1 Hg 3.19, 3 Pm 3.32-3.45, 2 Tb 3.56
Pm3 0.4778 0.4778 0.7486  2 Hg 3.13, 1 Tb 3.44, 1 Pm 3.45
Pm4 0.5222 0.5222 0.2514  2 Hg 3.13, 1 Tb 3.44, 1 Pm 3.45
Pm5 0.6812 0.6812 0.9635  1 Hg 3.19, 3 Pm 3.32-3.45, 2 Tb 3.56
Hg1 0.1452 0.1452 0.2490  4 Pm 3.13-3.31, 4 Tb 3.16-3.46
Hg2 0.8548 0.8548 0.7510  4 Pm 3.13-3.31, 4 Tb 3.16-3.46


Entry 11:
Compound: BaHfAg2
Source: Alexandria
Functional: PBE
Structure: optimized geometry

Results
* electronic total energy: -16.1 eV/cell
* energy of formation: 0.3606 eV per atom

abc: 5.3046 5.3046 5.3046
angles: 60.00 60.00 60.00
Closest atoms and distances in Å follow each position.
Element x y z (fractional)
Ba1 0.0000 0.0000 0.0000  8 Ag 3.25
Hf1 0.5000 0.5000 0.5000  8 Ag 3.25
Ag1 0.2500 0.2500 0.2500  4 Hf 3.25, 4 Ba 3.25
Ag2 0.7500 0.7500 0.7500  4 Hf 3.25, 4 Ba 3.25


Entry 12:
Compound: Cs2TlSbO4
Source: Alexandria
Functional: PBE
Structure: optimized geometry

Results
* electronic total energy: -38.8 eV/cell
* E_form (uncorrected): -1.34 eV per atom

abc: 6.5018 6.5018 6.5018
angles: 115.20 115.20 98.54
Closest atoms and distances in Å follow each position.
Element x y z (fractional)
Cs1 0.0000 0.0000 0.0000  4 O 2.97
Cs2 0.7500 0.2500 0.5000  8 O 3.52-3.53
Tl1 0.5000 0.5000 0.0000  4 O 2.67
Sb1 0.2500 0.7500 0.5000  4 O 1.92
O1 0.2348 0.0552 0.5344  1 Sb 1.92
O2 0.2996 0.7652 0.8204  1 Sb 1.92
O3 0.5208 0.7004 0.4656  1 Sb 1.92
O4 0.9448 0.4792 0.1796  1 Sb 1.92


Entry 13:
Compound: USiNi
Source: Alexandria
Functional: PBE
Structure: optimized geometry

Results
* electronic total energy: -23.7 eV/cell
* E_form (uncorrected): -0.41 eV per atom

abc: 4.0363 4.0363 3.6648
angles: 90.00 90.00 120.00
Closest atoms and distances in Å follow each position.
Element x y z (fractional)
U1 0.0000 0.0000 0.0000  6 Ni 2.96, 6 Si 2.96
Si1 0.3333 0.6667 0.5000  3 Ni 2.33
Ni1 0.6667 0.3333 0.5000  3 Si 2.33


Entry 14:
Compound: In2Sn2P
Source: Alexandria
Functional: PBE
Structure: optimized geometry

Results
* electronic total energy: -35.2 eV/cell
* energy of formation: 0.2606 eV per atom

abc: 7.0259 7.0259 5.3620
angles: 90.00 90.00 90.00
Closest atoms and distances in Å follow each position.
Element x y z (fractional)
In1 0.1476 0.3524 0.0000  2 P 2.68, 1 In 2.93
In2 0.3524 0.8524 0.0000  2 P 2.68, 1 In 2.93
In3 0.6476 0.1476 0.0000  2 P 2.68, 1 In 2.93
In4 0.8524 0.6476 0.0000  2 P 2.68, 1 In 2.93
Sn1 0.1803 0.6803 0.5000  6 In 3.18-3.54
Sn2 0.3197 0.1803 0.5000  6 In 3.18-3.54
Sn3 0.6803 0.8197 0.5000  6 In 3.18-3.54
Sn4 0.8197 0.3197 0.5000  6 In 3.18-3.54
P1 0.0000 0.0000 0.0000  4 In 2.68
P2 0.5000 0.5000 0.0000  4 In 2.68


Entry 15:
Compound: CaVBSe
Source: Alexandria
Functional: PBE
Structure: optimized geometry

Results
* electronic total energy: -22.9 eV/cell
* E_form (uncorrected): -0.40 eV per atom

abc: 6.4723 6.4723 6.4723
angles: 32.34 32.34 32.34
Closest atoms and distances in Å follow each position.
Element x y z (fractional)
Ca1 0.0000 0.0000 0.0000  3 B 2.70, 3 Se 3.00
V1 0.1996 0.1996 0.1996  3 B 2.21
B1 0.5728 0.5728 0.5728  3 V 2.21, 1 Se 2.24
Se1 0.4507 0.4507 0.4507  1 B 2.24


Entry 16:
Compound: PrY2Ho5Th
Source: Alexandria
Functional: PBE
Structure: optimized geometry

Results
* electronic total energy: -93.0 eV/cell
* energy of formation: 0.1679 eV per atom

abc: 10.3281 10.3281 10.4929
angles: 90.00 90.00 148.32
Closest atoms and distances in Å follow each position.
Element x y z (fractional)
Pr1 0.0859 0.9141 0.5000  5 Ho 3.05-3.28
Pr2 0.9141 0.0859 0.0000  5 Ho 3.05-3.28
Y1 0.3870 0.6130 0.3713  9 Ho 3.27-3.62
Y2 0.3872 0.6128 0.7848  7 Ho 3.38-3.66, 1 Th 3.45, 2 Pr 3.65
Y3 0.6128 0.3872 0.2848  7 Ho 3.38-3.66, 1 Th 3.45, 2 Pr 3.65
Y4 0.6130 0.3870 0.8713  9 Ho 3.27-3.62
Ho1 0.0222 0.9778 0.7883  2 Pr 3.09-3.28, 1 Ho 3.46, 2 Y 3.46
Ho2 0.1111 0.8889 0.0769  6 Ho 3.46-3.80, 4 Y 3.55-3.56, 1 Th 3.70
Ho3 0.2037 0.7963 0.7603  3 Ho 3.37-3.62, 3 Th 3.48-3.71, 3 Y 3.54-3.66, 1 Pr 3.60
Ho4 0.2223 0.7777 0.3662  1 Pr 3.05, 1 Y 3.27, 2 Ho 3.37
Ho5 0.4826 0.5174 0.0777  2 Pr 3.23, 4 Y 3.38-3.62, 2 Ho 3.58
Ho6 0.5174 0.4826 0.5777  2 Pr 3.23, 4 Y 3.38-3.62, 2 Ho 3.58
Ho7 0.7777 0.2223 0.8662  1 Pr 3.05, 1 Y 3.27, 2 Ho 3.37
Ho8 0.7963 0.2037 0.2603  3 Ho 3.37-3.62, 3 Th 3.48-3.71, 3 Y 3.54-3.66, 1 Pr 3.60
Ho9 0.8889 0.1111 0.5769  6 Ho 3.46-3.80, 4 Y 3.55-3.56, 1 Th 3.70
Ho10 0.9778 0.0222 0.2883  2 Pr 3.09-3.28, 1 Ho 3.46, 2 Y 3.46
Th1 0.2973 0.7027 0.0657  2 Y 3.45-3.67, 8 Ho 3.48-3.71, 2 Pr 3.72
Th2 0.7027 0.2973 0.5657  2 Y 3.45-3.67, 8 Ho 3.48-3.71, 2 Pr 3.72


Entry 17:
Compound: CrCo2Au
Source: Alexandria
Functional: PBE
Structure: optimized geometry

Results
* electronic total energy: -26.0 eV/cell
* energy of formation: 0.2899 eV per atom

abc: 8.6659 8.6659 8.6659
angles: 17.56 17.56 17.56
Closest atoms and distances in Å follow each position.
Element x y z (fractional)
Cr1 0.0000 0.0000 0.0000  6 Co 2.43, 6 Cr 2.65
Co1 0.2594 0.2594 0.2594  3 Cr 2.43, 6 Co 2.65
Co2 0.7406 0.7406 0.7406  3 Cr 2.43, 6 Co 2.65
Au1 0.5000 0.5000 0.5000  6 Au 2.65, 6 Co 2.82


Entry 18:
Compound: MgNbCdIr
Source: Alexandria
Functional: PBE
Structure: optimized geometry

Results
* electronic total energy: -22.1 eV/cell
* energy of formation: -0.1621 eV per atom

abc: 4.6158 4.6158 4.6158
angles: 60.00 60.00 60.00
Closest atoms and distances in Å follow each position.
Element x y z (fractional)
Mg1 0.0000 0.0000 0.0000  4 Ir 2.83, 4 Cd 2.83
Nb1 0.5000 0.5000 0.5000  4 Ir 2.83, 4 Cd 2.83
Cd1 0.2500 0.2500 0.2500  4 Nb 2.83, 4 Mg 2.83
Ir1 0.7500 0.7500 0.7500  4 Nb 2.83, 4 Mg 2.83


Entry 19:
Compound: PPbAu2
Source: Alexandria
Functional: PBE
Structure: optimized geometry

Results
* electronic total energy: -15.3 eV/cell
* energy of formation: 0.0834 eV per atom

abc: 4.1219 4.1219 6.4290
angles: 108.79 108.79 59.66
Closest atoms and distances in Å follow each position.
Element x y z (fractional)
P1 0.0000 0.0000 0.0000  6 Au 2.60-2.61
Pb1 0.5000 0.5000 0.5000  6 Au 3.05-3.06
Au1 0.2731 0.2731 0.8207  3 P 2.60-2.61
Au2 0.7269 0.7269 0.1793  3 P 2.60-2.61


Entry 20:
Compound: Tl3HgRh
Source: Alexandria
Functional: PBE
Structure: optimized geometry

Results
* electronic total energy: -28.2 eV/cell
* energy of formation: 0.1271 eV per atom

abc: 8.2649 8.2649 9.9539
angles: 102.07 102.07 22.64
Closest atoms and distances in Å follow each position.
Element x y z (fractional)
Tl1 0.0378 0.0378 0.1603  4 Rh 2.90-2.97, 1 Hg 3.03, 3 Tl 3.16-3.24
Tl2 0.2368 0.2368 0.1381  3 Rh 2.90-2.93, 1 Hg 3.23, 3 Tl 3.24
Tl3 0.4180 0.4180 0.3513  1 Rh 3.04, 5 Tl 3.24-3.40, 2 Hg 3.35
Tl4 0.5820 0.5820 0.6487  1 Rh 3.04, 5 Tl 3.24-3.40, 2 Hg 3.35
Tl5 0.7632 0.7632 0.8619  3 Rh 2.90-2.93, 1 Hg 3.23, 3 Tl 3.24
Tl6 0.9622 0.9622 0.8397  4 Rh 2.90-2.97, 1 Hg 3.03, 3 Tl 3.16-3.24
Hg1 0.1724 0.1724 0.4238  4 Tl 3.03-3.35, 4 Hg 3.10-3.24
Hg2 0.8276 0.8276 0.5762  4 Tl 3.03-3.35, 4 Hg 3.10-3.24
Rh1 0.3926 0.3926 0.0396  8 Tl 2.90-3.04, 2 Rh 3.24
Rh2 0.6074 0.6074 0.9604  8 Tl 2.90-3.04, 2 Rh 3.24